Entry from Alexandria: La3Pm7Tl2 after structural relaxation (PBE).

Unit cell a=3.6860 b=5.8851 c=19.3127 alpha=103.52 beta=90.00 gamma=90.00
Sites, in units of the cell vectors:
Pm 0.5000 0.9791 0.1663
Pm 0.5000 0.7247 0.4655
Pm 0.0000 0.5276 0.8463
Pm 0.0000 0.0000 0.0000
Pm 0.5000 0.2753 0.5345
Pm 0.0000 0.4724 0.1537
Pm 0.5000 0.0209 0.8337
Tl 0.5000 0.4016 0.7036
Tl 0.5000 0.5984 0.2964
La 0.0000 0.1430 0.3571
La 0.0000 0.8570 0.6429
La 0.5000 0.5000 0.0000

Calculated values
DFT formation energy: -0.043 eV per atom
space group: No. 10
E_tot: -53.3 eV/cell
magnetic moment: 0.00 μB/atom